(1)
Compound: Li2PuReN4
Source: Alexandria
Functional: PBE
Structure: optimized geometry

Unit cell a=3.232 b=5.489 c=5.370 alpha=108.80 beta=90.00 gamma=90.00
Each line ends with the local moment (μB).
Fractional coordinates of all 8 atoms:
N1 0.000 0.723 0.214  -0.04
Li1 0.500 0.000 0.500  0.01
N2 0.000 0.277 0.786  -0.04
N3 0.500 0.740 0.780  -0.08
N4 0.500 0.260 0.220  -0.08
Pu1 0.000 0.000 0.000  3.80
Li2 0.000 0.500 0.500  0.00
Re1 0.500 0.500 0.000  1.01

***

(2)
Compound: LiPuSN
Source: Alexandria
Functional: PBE
Structure: optimized geometry

Unit cell a=3.849 b=3.849 c=10.132 alpha=79.05 beta=79.05 gamma=60.00
Each line ends with the local moment (μB).
Fractional coordinates of all 8 atoms:
Pu1 0.120 0.120 0.640  4.32
Pu2 0.880 0.880 0.360  4.32
N1 0.195 0.195 0.416  -0.29
S1 0.611 0.611 0.168  -0.09
Li1 0.695 0.695 0.914  0.00
N2 0.805 0.805 0.584  -0.29
S2 0.389 0.389 0.832  -0.09
Li2 0.305 0.305 0.086  0.00

***

(3)
Compound: LiPuSbN
Source: Alexandria
Functional: PBE
Structure: optimized geometry

Unit cell a=3.220 b=3.220 c=7.562 alpha=102.29 beta=102.29 gamma=90.00
Each line ends with the local moment (μB).
Fractional coordinates of all 4 atoms:
Pu1 0.619 0.619 0.238  4.90
N1 0.163 0.163 0.327  -0.26
Sb1 0.930 0.930 0.859  -0.04
Li1 0.300 0.300 0.600  -0.01

***

(4)
Compound: Li3PuSe2N
Source: Alexandria
Functional: PBE
Structure: optimized geometry

Unit cell a=4.283 b=4.228 c=7.559 alpha=106.24 beta=106.46 gamma=90.00
Each line ends with the local moment (μB).
Fractional coordinates of all 7 atoms:
Li1 0.170 0.170 0.341  0.00
Se1 0.642 0.642 0.283  -0.07
N1 0.000 0.000 0.000  -0.22
Pu1 0.500 0.000 0.000  4.32
Li2 0.830 0.830 0.659  0.00
Se2 0.358 0.358 0.717  -0.07
Li3 0.000 0.500 0.000  0.01

***

(5)
Compound: Li2Sm2PuN4
Source: Alexandria
Functional: PBE
Structure: optimized geometry

Unit cell a=3.403 b=6.458 c=5.913 alpha=108.17 beta=90.00 gamma=105.28
Each line ends with the local moment (μB).
Fractional coordinates of all 9 atoms:
Pu1 0.000 0.000 0.000  4.27
N1 0.784 0.567 0.767  -0.04
N2 0.473 0.945 0.232  -0.16
Li1 0.685 0.369 0.009  0.01
N3 0.527 0.055 0.768  -0.16
Sm1 0.142 0.285 0.568  0.04
N4 0.216 0.433 0.233  -0.04
Li2 0.315 0.631 0.991  0.01
Sm2 0.858 0.715 0.432  0.04

***

(6)
Compound: Li2PuSnN4
Source: Alexandria
Functional: PBE
Structure: optimized geometry

Unit cell a=3.354 b=5.502 c=5.475 alpha=72.10 beta=90.00 gamma=90.00
Each line ends with the local moment (μB).
Fractional coordinates of all 8 atoms:
N1 0.000 0.279 0.237  -0.11
Li1 0.500 0.000 0.500  0.00
N2 0.500 0.279 0.713  -0.15
N3 0.500 0.721 0.287  -0.15
Pu1 0.000 0.500 0.500  2.66
Sn1 0.500 0.500 0.000  0.00
N4 0.000 0.721 0.763  -0.11
Li2 0.000 0.000 0.000  -0.01

***

(7)
Compound: Li4Pu3SnN8
Source: Alexandria
Functional: PBE
Structure: optimized geometry

Unit cell a=6.713 b=6.413 c=6.717 alpha=121.52 beta=119.98 gamma=90.00
Each line ends with the local moment (μB).
Fractional coordinates of all 16 atoms:
Pu1 0.500 0.500 0.500  3.29
N1 0.269 0.281 0.025  -0.19
Pu2 0.500 0.500 0.000  3.29
N2 0.244 0.719 0.488  -0.19
Li1 0.000 0.000 0.500  -0.01
Li2 0.500 0.000 0.500  -0.01
Sn1 0.000 0.500 0.000  0.02
N3 0.735 0.707 0.471  -0.21
N4 0.756 0.281 0.025  -0.19
N5 0.756 0.281 0.512  -0.19
Li3 0.500 0.000 0.000  0.00
N6 0.265 0.293 0.529  -0.21
N7 0.244 0.719 0.975  -0.19
Pu3 0.000 0.500 0.500  3.29
N8 0.731 0.719 0.975  -0.19
Li4 0.000 0.000 0.000  -0.01

***

(8)
Compound: Sr2Li2PuN4
Source: Alexandria
Functional: PBE
Structure: optimized geometry

Unit cell a=3.477 b=6.376 c=6.178 alpha=111.49 beta=90.00 gamma=105.82
Each line ends with the local moment (μB).
Fractional coordinates of all 9 atoms:
Sr1 0.141 0.282 0.572  -0.01
Li1 0.680 0.360 0.989  0.00
Sr2 0.859 0.718 0.428  -0.01
Li2 0.320 0.640 0.011  0.00
N1 0.188 0.377 0.170  -0.13
N2 0.514 0.028 0.775  -0.16
N3 0.486 0.972 0.225  -0.16
N4 0.812 0.623 0.830  -0.13
Pu1 0.000 0.000 0.000  2.77

***

(9)
Compound: SrLiPuN2
Source: Alexandria
Functional: PBE
Structure: optimized geometry

Unit cell a=3.814 b=3.814 c=6.479 alpha=90.00 beta=90.00 gamma=120.00
Each line ends with the local moment (μB).
Fractional coordinates of all 5 atoms:
Sr1 0.000 0.000 0.044  0.04
N1 0.667 0.333 0.723  -0.18
Li1 0.667 0.333 0.342  0.03
Pu1 0.333 0.667 0.616  4.84
N2 0.333 0.667 0.275  -0.08

***

(10)
Compound: Li2PuTa3N6
Source: Alexandria
Functional: PBE
Structure: optimized geometry

Unit cell a=3.139 b=6.489 c=7.089 alpha=105.68 beta=102.79 gamma=90.00
Each line ends with the local moment (μB).
Fractional coordinates of all 12 atoms:
Ta1 0.827 0.175 0.654  0.04
N1 0.337 0.396 0.674  0.02
N2 0.329 0.934 0.657  -0.04
Ta2 0.500 0.500 0.000  -0.02
N3 0.671 0.066 0.343  -0.04
N4 0.003 0.731 0.007  -0.06
Li1 0.176 0.360 0.352  0.00
N5 0.663 0.604 0.326  0.02
Pu1 0.500 0.000 0.000  4.38
Ta3 0.173 0.825 0.346  0.04
N6 0.997 0.269 0.993  -0.06
Li2 0.824 0.640 0.648  0.00

***

(11)
Compound: Li3PuTa2N6
Source: Alexandria
Functional: PBE
Structure: optimized geometry

Unit cell a=3.173 b=6.282 c=7.130 alpha=101.47 beta=102.86 gamma=90.00
Each line ends with the local moment (μB).
Fractional coordinates of all 12 atoms:
N1 0.324 0.426 0.648  -0.02
N2 0.676 0.574 0.352  -0.02
Li1 0.177 0.838 0.353  0.00
N3 0.338 0.886 0.676  -0.07
Ta1 0.169 0.344 0.338  0.02
Pu1 0.500 0.000 0.000  3.44
Li2 0.500 0.500 0.000  0.00
N4 0.662 0.114 0.324  -0.07
Li3 0.823 0.162 0.647  0.00
Ta2 0.831 0.656 0.662  0.02
N5 0.984 0.752 0.969  -0.13
N6 0.016 0.248 0.031  -0.13

***

(12)
Compound: LiPu2TaN4
Source: Alexandria
Functional: PBE
Structure: optimized geometry

Unit cell a=3.310 b=5.640 c=5.756 alpha=69.86 beta=90.00 gamma=90.00
Each line ends with the local moment (μB).
Fractional coordinates of all 8 atoms:
N1 0.000 0.274 0.231  -0.04
Pu1 0.000 0.000 0.000  -3.96
N2 0.000 0.726 0.769  -0.04
N3 0.500 0.256 0.784  0.10
N4 0.500 0.744 0.216  0.10
Pu2 0.500 0.000 0.500  4.62
Ta1 0.500 0.500 0.000  -0.04
Li1 0.000 0.500 0.500  0.00

***

| no. | calculated density (g/cm3) | formation energy (no corrections) (kJ/mol of formula units) |
| --- | --- | --- |
| 1 | 9.21 | -410 |
| 2 | 7.78 | -541 |
| 3 | 8.59 | -271 |
| 4 | 5.78 | -768 |
| 5 | 8.60 | -805 |
| 6 | 7.47 | -309 |
| 7 | 8.24 | -931 |
| 8 | 6.67 | -629 |
| 9 | 7.46 | -369 |
| 10 | 10.86 | -1303 |
| 11 | 8.70 | -1115 |
| 12 | 12.05 | -802 |